(A)
Compound: SnSbP2O
Source: Alexandria via LeMat-Bulk
Functional: PBE
Structure: optimized geometry

Results
**Fermi-level density of states**: 2.6 states/eV per cell

Lattice parameters (Å, degrees): 5.1221 5.1221 3.9545 90.00 90.00 90.00
With the nearest neighbours (Å) after each atom.
Space group P4/mmm (No. 123)
Symmetry-distinct sites (fractional):
1 Sn 0.0000 0.0000 0.0000 [1 per cell]  8 P 3.24, 4 O 3.62
2 Sb 0.5000 0.5000 0.5000 [1 per cell]  2 O 1.98
3 P 0.0000 0.5000 0.5000 [2 per cell]  2 Sb 2.56
4 O 0.5000 0.5000 0.0000 [1 per cell]  2 Sb 1.98



(B)
Compound: SnSbP2O
Source: Alexandria via LeMat-Bulk
Functional: PBE
Structure: optimized geometry

Results
**Fermi-level density of states**: 3.5 states/eV per cell

Lattice parameters (Å, degrees): 5.1621 5.1621 3.9158 90.00 90.00 90.00
With the nearest neighbours (Å) after each atom.
Space group P4/mmm (No. 123)
Symmetry-distinct sites (fractional):
1 Sn 0.0000 0.0000 0.0000 [1 per cell]  2 O 1.96
2 Sb 0.5000 0.5000 0.5000 [1 per cell]  8 P 3.24
3 P 0.0000 0.5000 0.0000 [2 per cell]  2 Sn 2.58
4 O 0.0000 0.0000 0.5000 [1 per cell]  2 Sn 1.96



Stability, highest: (A)



(A)
Compound: SrSbPO2
Source: Alexandria via LeMat-Bulk
Functional: PBE
Structure: optimized geometry

Results
**Fermi-level density of states**: 3.4 states/eV per cell

Lattice parameters (Å, degrees): 4.4004 4.4004 6.0976 90.00 90.00 90.00
With the nearest neighbours (Å) after each atom.
Space group P4/mmm (No. 123)
Symmetry-distinct sites (fractional):
1 Sr 0.0000 0.0000 0.0000 [1 per cell]  4 O 2.20
2 Sb 0.5000 0.5000 0.5000 [1 per cell]  4 P 3.11
3 P 0.0000 0.0000 0.5000 [1 per cell]  2 Sr 3.05, 4 Sb 3.11
4 O 0.0000 0.5000 0.0000 [2 per cell]  2 Sr 2.20



(B)
Compound: SrSbPO2
Source: Alexandria via LeMat-Bulk
Functional: PBE
Structure: optimized geometry

Results
**Fermi-level density of states**: 3.1 states/eV per cell

Lattice parameters (Å, degrees): 4.1990 4.1990 5.0940 90.00 90.00 90.00
With the nearest neighbours (Å) after each atom.
Space group P4/mmm (No. 123)
Symmetry-distinct sites (fractional):
1 Sr 0.0000 0.0000 0.0000 [1 per cell]  4 P 2.97, 8 O 3.30
2 Sb 0.5000 0.5000 0.5000 [1 per cell]  4 O 2.10
3 P 0.5000 0.5000 0.0000 [1 per cell]  2 Sb 2.55
4 O 0.0000 0.5000 0.5000 [2 per cell]  2 Sb 2.10



Stability, highest: (B)



(A)
Compound: TaSbPO2
Source: Alexandria via LeMat-Bulk
Functional: PBE
Structure: optimized geometry

Results
**Fermi-level density of states**: 4.2 states/eV per cell

Lattice parameters (Å, degrees): 3.8945 3.8945 5.5256 90.00 90.00 90.00
With the nearest neighbours (Å) after each atom.
Space group P4/mmm (No. 123)
Symmetry-distinct sites (fractional):
1 Ta 0.0000 0.0000 0.0000 [1 per cell]  4 P 2.75
2 Sb 0.5000 0.5000 0.5000 [1 per cell]  4 O 1.95
3 P 0.5000 0.5000 0.0000 [1 per cell]  4 Ta 2.75, 2 Sb 2.76
4 O 0.0000 0.5000 0.5000 [2 per cell]  2 Sb 1.95



(B)
Compound: TaSbPO2
Source: Alexandria via LeMat-Bulk
Functional: PBE
Structure: optimized geometry

Results
**Fermi-level density of states**: 1.2 states/eV per cell

Lattice parameters (Å, degrees): 3.9412 3.9412 5.3892 90.00 90.00 90.00
With the nearest neighbours (Å) after each atom.
Space group P4/mmm (No. 123)
Symmetry-distinct sites (fractional):
1 Ta 0.0000 0.0000 0.0000 [1 per cell]  4 O 1.97
2 Sb 0.5000 0.5000 0.5000 [1 per cell]  4 P 2.79
3 P 0.0000 0.0000 0.5000 [1 per cell]  2 Ta 2.69, 4 Sb 2.79
4 O 0.0000 0.5000 0.0000 [2 per cell]  2 Ta 1.97



Stability, highest: (B)



(A)
Compound: TcSbP2O
Source: Alexandria via LeMat-Bulk
Functional: PBE
Structure: optimized geometry

Results
**Fermi-level density of states**: 3.5 states/eV per cell

Lattice parameters (Å, degrees): 4.8615 4.8615 3.7118 90.00 90.00 90.00
With the nearest neighbours (Å) after each atom.
Space group P4/mmm (No. 123)
Symmetry-distinct sites (fractional):
1 Tc 0.0000 0.0000 0.0000 [1 per cell]  2 O 1.86
2 Sb 0.5000 0.5000 0.5000 [1 per cell]  8 P 3.06
3 P 0.0000 0.5000 0.0000 [2 per cell]  2 Tc 2.43
4 O 0.0000 0.0000 0.5000 [1 per cell]  2 Tc 1.86



(B)
Compound: TcSbP2O
Source: Alexandria via LeMat-Bulk
Functional: PBE
Structure: optimized geometry

Results
**Fermi-level density of states**: 2.0 states/eV per cell

Lattice parameters (Å, degrees): 5.0321 5.0321 3.8682 90.00 90.00 90.00
With the nearest neighbours (Å) after each atom.
Space group P4/mmm (No. 123)
Symmetry-distinct sites (fractional):
1 Tc 0.0000 0.0000 0.0000 [1 per cell]  8 P 3.17
2 Sb 0.5000 0.5000 0.5000 [1 per cell]  2 O 1.93
3 P 0.0000 0.5000 0.5000 [2 per cell]  2 Sb 2.52
4 O 0.5000 0.5000 0.0000 [1 per cell]  2 Sb 1.93



Stability, highest: (A)



(A)
Compound: SbTeP2O
Source: Alexandria via LeMat-Bulk
Functional: PBE
Structure: optimized geometry

Results
**Fermi-level density of states**: 3.6 states/eV per cell

Lattice parameters (Å, degrees): 5.1289 5.1289 3.9509 90.00 90.00 90.00
With the nearest neighbours (Å) after each atom.
Space group P4/mmm (No. 123)
Symmetry-distinct sites (fractional):
1 Sb 0.0000 0.0000 0.0000 [1 per cell]  2 O 1.98
2 Te 0.5000 0.5000 0.5000 [1 per cell]  8 P 3.24
3 P 0.0000 0.5000 0.0000 [2 per cell]  2 Sb 2.56
4 O 0.0000 0.0000 0.5000 [1 per cell]  2 Sb 1.98



(B)
Compound: SbTeP2O
Source: Alexandria via LeMat-Bulk
Functional: PBE
Structure: optimized geometry

Results
**Fermi-level density of states**: 4.1 states/eV per cell

Lattice parameters (Å, degrees): 5.1478 5.1478 3.9658 90.00 90.00 90.00
With the nearest neighbours (Å) after each atom.
Space group P4/mmm (No. 123)
Symmetry-distinct sites (fractional):
1 Sb 0.0000 0.0000 0.0000 [1 per cell]  8 P 3.25
2 Te 0.5000 0.5000 0.5000 [1 per cell]  2 O 1.98
3 P 0.0000 0.5000 0.5000 [2 per cell]  2 Te 2.57
4 O 0.5000 0.5000 0.0000 [1 per cell]  2 Te 1.98



Stability, highest: (A)



(A)
Compound: TiSbPO2
Source: Alexandria via LeMat-Bulk
Functional: PBE
Structure: optimized geometry

Results
**Fermi-level density of states**: 0.6 states/eV per cell

Lattice parameters (Å, degrees): 3.8639 3.8639 5.1688 90.00 90.00 90.00
With the nearest neighbours (Å) after each atom.
Space group P4/mmm (No. 123)
Symmetry-distinct sites (fractional):
1 Ti 0.0000 0.0000 0.0000 [1 per cell]  4 O 1.93
2 Sb 0.5000 0.5000 0.5000 [1 per cell]  4 P 2.73
3 P 0.0000 0.0000 0.5000 [1 per cell]  2 Ti 2.58, 4 Sb 2.73
4 O 0.0000 0.5000 0.0000 [2 per cell]  2 Ti 1.93



(B)
Compound: TiSbPO2
Source: Alexandria via LeMat-Bulk
Functional: PBE
Structure: optimized geometry

Results
**Fermi-level density of states**: 5.7 states/eV per cell

Lattice parameters (Å, degrees): 3.9278 3.9278 5.3432 90.00 90.00 90.00
With the nearest neighbours (Å) after each atom.
Space group P4/mmm (No. 123)
Symmetry-distinct sites (fractional):
1 Ti 0.0000 0.0000 0.0000 [1 per cell]  4 P 2.78
2 Sb 0.5000 0.5000 0.5000 [1 per cell]  4 O 1.96
3 P 0.5000 0.5000 0.0000 [1 per cell]  2 Sb 2.67, 4 Ti 2.78
4 O 0.0000 0.5000 0.5000 [2 per cell]  2 Sb 1.96



Stability, highest: (A)



(A)
Compound: YSbPO2
Source: Alexandria via LeMat-Bulk
Functional: PBE
Structure: optimized geometry

Results
**Fermi-level density of states**: 1.3 states/eV per cell

Lattice parameters (Å, degrees): 4.1271 4.1271 5.1581 90.00 90.00 90.00
With the nearest neighbours (Å) after each atom.
Space group P4/mmm (No. 123)
Symmetry-distinct sites (fractional):
1 Y 0.0000 0.0000 0.0000 [1 per cell]  4 P 2.92
2 Sb 0.5000 0.5000 0.5000 [1 per cell]  4 O 2.06
3 P 0.5000 0.5000 0.0000 [1 per cell]  2 Sb 2.58
4 O 0.0000 0.5000 0.5000 [2 per cell]  2 Sb 2.06



(B)
Compound: YSbPO2
Source: Alexandria via LeMat-Bulk
Functional: PBE
Structure: optimized geometry

Results
**Fermi-level density of states**: 3.1 states/eV per cell

Lattice parameters (Å, degrees): 4.2362 4.2362 5.7375 90.00 90.00 90.00
With the nearest neighbours (Å) after each atom.
Space group P4/mmm (No. 123)
Symmetry-distinct sites (fractional):
1 Y 0.0000 0.0000 0.0000 [1 per cell]  4 O 2.12
2 Sb 0.5000 0.5000 0.5000 [1 per cell]  4 P 3.00
3 P 0.0000 0.0000 0.5000 [1 per cell]  2 Y 2.87, 4 Sb 3.00
4 O 0.0000 0.5000 0.0000 [2 per cell]  2 Y 2.12



Stability, highest: (A)



(A)
Compound: YSbP2O
Source: Alexandria via LeMat-Bulk
Functional: PBE
Structure: optimized geometry

Results
**Fermi-level density of states**: 4.9 states/eV per cell

Lattice parameters (Å, degrees): 5.4139 5.4139 4.1291 90.00 90.00 90.00
With the nearest neighbours (Å) after each atom.
Space group P4/mmm (No. 123)
Symmetry-distinct sites (fractional):
1 Y 0.0000 0.0000 0.0000 [1 per cell]  2 O 2.06
2 Sb 0.5000 0.5000 0.5000 [1 per cell]  8 P 3.40
3 P 0.0000 0.5000 0.0000 [2 per cell]  2 Y 2.71
4 O 0.0000 0.0000 0.5000 [1 per cell]  2 Y 2.06



(B)
Compound: YSbP2O
Source: Alexandria via LeMat-Bulk
Functional: PBE
Structure: optimized geometry

Results
**Fermi-level density of states**: 2.4 states/eV per cell

Lattice parameters (Å, degrees): 5.0513 5.0513 4.0111 90.00 90.00 90.00
With the nearest neighbours (Å) after each atom.
Space group P4/mmm (No. 123)
Symmetry-distinct sites (fractional):
1 Y 0.0000 0.0000 0.0000 [1 per cell]  8 P 3.23, 4 O 3.57
2 Sb 0.5000 0.5000 0.5000 [1 per cell]  2 O 2.01
3 P 0.0000 0.5000 0.5000 [2 per cell]  2 Sb 2.53
4 O 0.5000 0.5000 0.0000 [1 per cell]  2 Sb 2.01



Stability, highest: (B)